--- A ---
BeB3Se after structural relaxation. Source: Alexandria via LeMat-Bulk, functional PBE-GGA.

crystal system = cubic
space-group type = No. 221

Structure (POSCAR):
```
BeB3Se
1.0
4.089 0.000 0.000
0.000 4.089 0.000
0.000 0.000 4.089
Be B Se
1 3 1
Direct
0.000 0.000 0.000 Be
0.000 0.500 0.500 B
0.500 0.000 0.500 B
0.500 0.500 0.000 B
0.500 0.500 0.500 Se
```

--- B ---
BeB3Se after structural relaxation. Source: Alexandria via LeMat-Bulk, functional PBE-GGA.

crystal system = cubic
space-group type = No. 221

Structure (POSCAR):
```
BeB3Se
1.0
3.827 0.000 0.000
0.000 3.827 0.000
0.000 0.000 3.827
Be B Se
1 3 1
Direct
0.000 0.000 0.000 Be
0.000 0.000 0.500 B
0.000 0.500 0.000 B
0.500 0.000 0.000 B
0.500 0.500 0.500 Se
```

Stability ranking, top and bottom: B is the most stable and A is the least stable.

--- A ---
BeB2Se after structural relaxation. Source: Alexandria via LeMat-Bulk, functional PBE-GGA.

crystal system = cubic
space-group type = No. 225

Structure (POSCAR):
```
BeB2Se
1.0
0.000 2.775 2.775
2.775 0.000 2.775
2.775 2.775 0.000
Be B Se
1 2 1
Direct
0.000 0.000 0.000 Be
0.250 0.250 0.250 B
0.750 0.750 0.750 B
0.500 0.500 0.500 Se
```

--- B ---
BeB2Se after structural relaxation. Source: Alexandria via LeMat-Bulk, functional PBE-GGA.

crystal system = tetragonal
space-group type = No. 122

Structure (POSCAR):
```
BeB2Se
1.0
-2.398 2.398 4.355
2.398 -2.398 4.355
2.398 2.398 -4.355
Be B Se
2 4 2
Direct
0.000 0.000 0.000 Be
0.750 0.250 0.500 Be
0.109 0.625 0.984 B
0.375 0.359 0.484 B
0.641 0.125 0.016 B
0.875 0.891 0.516 B
0.250 0.750 0.500 Se
0.500 0.500 0.000 Se
```

Stability ranking, top and bottom: B is the most stable and A is the least stable.

--- A ---
Be3BSe after structural relaxation. Source: Alexandria via LeMat-Bulk, functional PBE-GGA.

crystal system = cubic
space-group type = No. 221

Structure (POSCAR):
```
Be3BSe
1.0
4.167 0.000 0.000
0.000 4.167 0.000
0.000 0.000 4.167
Be B Se
3 1 1
Direct
0.000 0.000 0.500 Be
0.000 0.500 0.000 Be
0.500 0.000 0.000 Be
0.500 0.500 0.500 B
0.000 0.000 0.000 Se
```

--- B ---
Be3BSe after structural relaxation. Source: Alexandria via LeMat-Bulk, functional PBE-GGA.

crystal system = cubic
space-group type = No. 221

Structure (POSCAR):
```
Be3BSe
1.0
3.829 0.000 0.000
0.000 3.829 0.000
0.000 0.000 3.829
Be B Se
3 1 1
Direct
0.000 0.000 0.500 Be
0.000 0.500 0.000 Be
0.500 0.000 0.000 Be
0.000 0.000 0.000 B
0.500 0.500 0.500 Se
```

Stability ranking, top and bottom: B is the most stable and A is the least stable.

--- A ---
BeSiB after structural relaxation. Source: Alexandria via LeMat-Bulk, functional PBE-GGA.

crystal system = triclinic
space-group type = No. 2

Structure (POSCAR):
```
BeSiB
1.0
3.715 0.000 0.000
1.838 3.229 0.000
0.028 0.988 5.757
Be Si B
2 2 2
Direct
0.240 0.023 0.427 Be
0.760 0.977 0.573 Be
0.321 0.363 0.917 Si
0.679 0.637 0.083 Si
0.259 0.482 0.558 B
0.741 0.518 0.442 B
```

--- B ---
BeSiB after structural relaxation. Source: Alexandria via LeMat-Bulk, functional PBE-GGA.

crystal system = trigonal
space-group type = No. 164

Structure (POSCAR):
```
BeSiB
1.0
3.277 0.000 0.000
-1.638 2.838 0.000
0.000 0.000 6.711
Be Si B
2 2 2
Direct
0.333 0.667 0.407 Be
0.667 0.333 0.593 Be
0.000 0.000 0.176 Si
0.000 0.000 0.824 Si
0.333 0.667 0.705 B
0.667 0.333 0.295 B
```

--- C ---
BeSiB after structural relaxation. Source: Alexandria via LeMat-Bulk, functional PBE-GGA.

crystal system = cubic
space-group type = No. 216

Structure (POSCAR):
```
BeSiB
1.0
0.000 2.453 2.453
2.453 0.000 2.453
2.453 2.453 0.000
Be Si B
1 1 1
Direct
0.000 0.000 0.000 Be
0.500 0.500 0.500 Si
0.750 0.750 0.750 B
```

--- D ---
BeSiB after structural relaxation. Source: Alexandria via LeMat-Bulk, functional PBE-GGA.

crystal system = trigonal
space-group type = No. 160

Structure (POSCAR):
```
BeSiB
1.0
1.618 0.934 6.986
-1.618 0.934 6.986
0.000 -1.868 6.986
Be Si B
2 2 2
Direct
0.000 0.000 0.000 Be
0.263 0.263 0.263 Be
0.729 0.729 0.729 Si
0.841 0.841 0.841 Si
0.548 0.548 0.548 B
0.633 0.633 0.633 B
```

Stability ranking, top and bottom: B is the most stable and C is the least stable.

--- A ---
BeSiB after structural relaxation. Source: Alexandria via LeMat-Bulk, functional PBE-GGA.

crystal system = trigonal
space-group type = No. 160

Structure (POSCAR):
```
BeSiB
1.0
1.667 0.962 6.638
-1.667 0.962 6.638
0.000 -1.924 6.638
Be Si B
2 2 2
Direct
0.000 0.000 0.000 Be
0.393 0.393 0.393 Be
0.125 0.125 0.125 Si
0.588 0.588 0.588 Si
0.298 0.298 0.298 B
0.487 0.487 0.487 B
```

--- B ---
BeSiB after structural relaxation. Source: Alexandria via LeMat-Bulk, functional PBE-GGA.

crystal system = monoclinic
space-group type = No. 10

Structure (POSCAR):
```
BeSiB
1.0
3.622 0.000 0.000
0.000 3.402 0.000
-1.120 0.000 5.906
Be Si B
2 2 2
Direct
0.070 0.000 0.326 Be
0.930 0.000 0.674 Be
0.469 0.500 0.806 Si
0.531 0.500 0.194 Si
0.418 0.000 0.627 B
0.582 0.000 0.373 B
```

--- C ---
BeSiB after structural relaxation. Source: Alexandria via LeMat-Bulk, functional PBE-GGA.

crystal system = trigonal
space-group type = No. 160

Structure (POSCAR):
```
BeSiB
1.0
1.659 0.958 6.710
-1.659 0.958 6.710
0.000 -1.916 6.710
Be Si B
2 2 2
Direct
0.000 0.000 0.000 Be
0.399 0.399 0.399 Be
0.599 0.599 0.599 Si
0.807 0.807 0.807 Si
0.097 0.097 0.097 B
0.906 0.906 0.906 B
```

Stability ranking, top and bottom: A is the most stable and B is the least stable.

--- A ---
BeSiB after structural relaxation. Source: Alexandria via LeMat-Bulk, functional PBE-GGA.

crystal system = trigonal
space-group type = No. 160

Structure (POSCAR):
```
BeSiB
1.0
1.668 0.963 6.603
-1.668 0.963 6.603
0.000 -1.927 6.603
Be Si B
2 2 2
Direct
0.000 0.000 0.000 Be
0.396 0.396 0.396 Be
0.597 0.597 0.597 Si
0.806 0.806 0.806 Si
0.497 0.497 0.497 B
0.698 0.698 0.698 B
```

--- B ---
BeSiB after structural relaxation. Source: Alexandria via LeMat-Bulk, functional PBE-GGA.

crystal system = triclinic
space-group type = No. 2

Structure (POSCAR):
```
BeSiB
1.0
3.252 0.000 0.000
0.691 3.741 0.000
0.924 0.916 5.356
Be Si B
2 2 2
Direct
0.220 0.181 0.454 Be
0.780 0.819 0.546 Be
0.043 0.278 0.867 Si
0.957 0.722 0.133 Si
0.397 0.676 0.376 B
0.603 0.324 0.624 B
```

--- C ---
BeSiB after structural relaxation. Source: Alexandria via LeMat-Bulk, functional PBE-GGA.

crystal system = monoclinic
space-group type = No. 12

Structure (POSCAR):
```
BeSiB
1.0
2.771 -2.451 0.000
2.771 2.451 0.000
-2.048 0.000 4.573
Be Si B
2 2 2
Direct
0.214 0.214 0.087 Be
0.786 0.786 0.913 Be
0.000 0.500 0.500 Si
0.500 0.000 0.500 Si
0.334 0.666 0.000 B
0.666 0.334 0.000 B
```

--- D ---
BeSiB after structural relaxation. Source: Alexandria via LeMat-Bulk, functional PBE-GGA.

crystal system = hexagonal
space-group type = No. 187

Structure (POSCAR):
```
BeSiB
1.0
3.422 0.000 0.000
-1.711 2.963 0.000
0.000 0.000 3.615
Be Si B
1 1 1
Direct
0.000 0.000 0.000 Be
0.333 0.667 0.500 Si
0.000 0.000 0.500 B
```

Stability ranking, top and bottom: A is the most stable and C is the least stable.

--- A ---
BeSiB after structural relaxation. Source: Alexandria via LeMat-Bulk, functional PBE-GGA.

crystal system = trigonal
space-group type = No. 160

Structure (POSCAR):
```
BeSiB
1.0
1.626 0.939 6.871
-1.626 0.939 6.871
0.000 -1.877 6.871
Be Si B
2 2 2
Direct
0.000 0.000 0.000 Be
0.265 0.265 0.265 Be
0.739 0.739 0.739 Si
0.856 0.856 0.856 Si
0.364 0.364 0.364 B
0.558 0.558 0.558 B
```

--- B ---
BeSiB after structural relaxation. Source: Alexandria via LeMat-Bulk, functional PBE-GGA.

crystal system = monoclinic
space-group type = No. 8

Structure (POSCAR):
```
BeSiB
1.0
2.913 -1.670 0.000
2.913 1.670 0.000
-1.869 0.000 6.741
Be Si B
2 2 2
Direct
0.000 0.000 0.000 Be
0.613 0.613 0.841 Be
0.205 0.205 0.604 Si
0.778 0.778 0.293 Si
0.114 0.114 0.307 B
0.299 0.299 0.897 B
```

Stability ranking, top and bottom: A is the most stable and B is the least stable.

--- A ---
Be2SiB after structural relaxation. Source: Alexandria via LeMat-Bulk, functional PBE-GGA.

crystal system = cubic
space-group type = No. 225

Structure (POSCAR):
```
Be2SiB
1.0
0.000 2.649 2.649
2.649 0.000 2.649
2.649 2.649 0.000
Be Si B
2 1 1
Direct
0.250 0.250 0.250 Be
0.750 0.750 0.750 Be
0.000 0.000 0.000 Si
0.500 0.500 0.500 B
```

--- B ---
Be2SiB after structural relaxation. Source: Alexandria via LeMat-Bulk, functional PBE-GGA.

crystal system = trigonal
space-group type = No. 164

Structure (POSCAR):
```
Be2SiB
1.0
3.253 0.000 0.000
-1.627 2.817 0.000
0.000 0.000 4.190
Be Si B
2 1 1
Direct
0.333 0.667 0.359 Be
0.667 0.333 0.641 Be
0.000 0.000 0.000 Si
0.000 0.000 0.500 B
```

Stability ranking, top and bottom: B is the most stable and A is the least stable.

--- A ---
BeSi3B after structural relaxation. Source: Alexandria via LeMat-Bulk, functional PBE-GGA.

crystal system = cubic
space-group type = No. 221

Structure (POSCAR):
```
BeSi3B
1.0
4.067 0.000 0.000
0.000 4.067 0.000
0.000 0.000 4.067
Be Si B
1 3 1
Direct
0.000 0.000 0.000 Be
0.000 0.500 0.500 Si
0.500 0.000 0.500 Si
0.500 0.500 0.000 Si
0.500 0.500 0.500 B
```

--- B ---
BeSi3B after structural relaxation. Source: Alexandria via LeMat-Bulk, functional PBE-GGA.

crystal system = cubic
space-group type = No. 221

Structure (POSCAR):
```
BeSi3B
1.0
4.166 0.000 0.000
0.000 4.166 0.000
0.000 0.000 4.166
Be Si B
1 3 1
Direct
0.000 0.000 0.000 Be
0.000 0.000 0.500 Si
0.000 0.500 0.000 Si
0.500 0.000 0.000 Si
0.500 0.500 0.500 B
```

Stability ranking, top and bottom: A is the most stable and B is the least stable.

--- A ---
Be2SnB after structural relaxation. Source: Alexandria via LeMat-Bulk, functional PBE-GGA.

crystal system = cubic
space-group type = No. 225

Structure (POSCAR):
```
Be2SnB
1.0
0.000 2.950 2.950
2.950 0.000 2.950
2.950 2.950 0.000
Be Sn B
2 1 1
Direct
0.250 0.250 0.250 Be
0.750 0.750 0.750 Be
0.000 0.000 0.000 Sn
0.500 0.500 0.500 B
```

--- B ---
Be2SnB after structural relaxation. Source: Alexandria via LeMat-Bulk, functional PBE-GGA.

crystal system = tetragonal
space-group type = No. 122

Structure (POSCAR):
```
Be2SnB
1.0
-2.004 2.004 6.473
2.004 -2.004 6.473
2.004 2.004 -6.473
Be Sn B
4 2 2
Direct
0.375 0.163 0.288 Be
0.837 0.125 0.212 Be
0.875 0.087 0.712 Be
0.913 0.625 0.788 Be
0.250 0.750 0.500 Sn
0.500 0.500 0.000 Sn
0.000 0.000 0.000 B
0.750 0.250 0.500 B
```

Stability ranking, top and bottom: B is the most stable and A is the least stable.